A geometry-optimized KLaNiF6 structure. Source: Alexandria via LeMat-Bulk, functional GGA+U.

Cell and atoms, written as CIF:
```
data_KLaNiF6
_chemical_formula_sum 'K2 La2 Ni2 F12'
_symmetry_space_group_name_H-M 'P 1'
_symmetry_Int_Tables_number 1
_cell_length_a 5.9568
_cell_length_b 5.9568
_cell_length_c 10.4889
_cell_angle_alpha 90.00
_cell_angle_beta 90.00
_cell_angle_gamma 120.00
loop_
_symmetry_equiv_pos_as_xyz
'x,y,z'
loop_
_atom_site_label
_atom_site_fract_x
_atom_site_fract_y
_atom_site_fract_z
_atom_site_occupancy
K1 0.0000 0.0000 0.0000 1
K2 0.0000 0.0000 0.5000 1
La1 0.3333 0.6667 0.2500 1
La2 0.6667 0.3333 0.7500 1
Ni1 0.3333 0.6667 0.7500 1
Ni2 0.6667 0.3333 0.2500 1
F1 0.0372 0.3885 0.6436 1
F2 0.0372 0.6487 0.8564 1
F3 0.3513 0.3885 0.8564 1
F4 0.3513 0.9628 0.6436 1
F5 0.3885 0.0372 0.1436 1
F6 0.3885 0.3513 0.3564 1
F7 0.6115 0.6487 0.6436 1
F8 0.6115 0.9628 0.8564 1
F9 0.6487 0.0372 0.3564 1
F10 0.6487 0.6115 0.1436 1
F11 0.9628 0.3513 0.1436 1
F12 0.9628 0.6115 0.3564 1
```

Properties
**Crystal system**: trigonal
**M_tot**: 3.78 μB/cell
**Final energy**: -5.3584 eV/atom